[1]
## NdSmBiAu (PBE-GGA)

Data for NdSmBiAu after structural relaxation.

Cell lengths 5.4071, 5.4071, 5.4071 Å; angles 60.00, 60.00, 60.00 degrees
Closest atoms and distances in Å follow each position.
Fractional positions:
Bi 0.5000 0.5000 0.5000  4 Sm 3.31, 4 Nd 3.31
Nd 0.2500 0.2500 0.2500  4 Bi 3.31, 4 Au 3.31
Au 0.0000 0.0000 0.0000  4 Nd 3.31, 4 Sm 3.31
Sm 0.7500 0.7500 0.7500  4 Bi 3.31, 4 Au 3.31

Properties
The calculation puts the total moment at 0.00 μB per formula unit. The density of states at the Fermi level comes out at 1.27 states/eV/atom. For the formation energy, the calculation gives -0.690 eV per atom. Its crystal system is cubic. As for the symmetry: F-43m.

[2]
## CoCu2Mo (PBE-GGA)

Data for CoCu2Mo after structural relaxation.

Cell lengths 6.7401, 6.7401, 5.3352 Å; angles 50.83, 50.83, 90.00 degrees
Closest atoms and distances in Å follow each position.
Fractional positions:
Co 0.5000 0.5000 0.0000  4 Cu 2.36, 2 Mo 2.40
Co 0.2500 0.7500 0.5000  4 Cu 2.36, 2 Mo 2.40
Mo 0.0000 0.0000 0.0000  2 Co 2.40, 4 Cu 2.56
Mo 0.7500 0.2500 0.5000  2 Co 2.40, 4 Cu 2.56
Cu 0.3750 0.3969 0.7500  2 Co 2.36, 2 Cu 2.42, 2 Mo 2.56
Cu 0.8750 0.8531 0.7500  2 Co 2.36, 2 Cu 2.42, 2 Mo 2.56
Cu 0.6031 0.1250 0.2500  2 Co 2.36, 2 Cu 2.42, 2 Mo 2.56
Cu 0.1469 0.6250 0.2500  2 Co 2.36, 2 Cu 2.42, 2 Mo 2.56

Properties
The calculation puts the total moment at 1.15 μB per formula unit. The density of states at the Fermi level comes out at 1.45 states/eV/atom. For the formation energy, the calculation gives 0.748 eV per atom. Its crystal system is tetragonal. As for the symmetry: I-42d.

[3]
## SrScCl (PBE-GGA)

Data for SrScCl after structural relaxation.

Cell lengths 7.8813, 7.5083, 3.6277 Å; angles 82.17, 70.70, 27.13 degrees
Closest atoms and distances in Å follow each position.
Fractional positions:
Sr 0.3422 0.3422 0.6578  2 Cl 3.11, 2 Sc 3.42
Sc 0.6475 0.6475 0.3525  2 Cl 2.77
Cl 0.0103 0.0103 0.9897  2 Sc 2.77

Properties
The calculation puts the total moment at 0.00 μB per formula unit. The density of states at the Fermi level comes out at 0.60 states/eV/atom. Its crystal system is orthorhombic. The calculation puts the calculated total energy at -3.968 eV/atom. As for the symmetry: Fmm2.

[4]
## Mg2ZrO (PBE-GGA)

Data for Mg2ZrO after structural relaxation.

Cell lengths 6.1711, 6.1711, 6.0977 Å; angles 59.60, 59.60, 90.00 degrees
Closest atoms and distances in Å follow each position.
Fractional positions:
Mg 0.3750 0.6955 0.7500  2 O 1.92
Mg 0.8750 0.5545 0.7500  2 O 1.92
Mg 0.3045 0.1250 0.2500  2 O 1.92
Mg 0.4455 0.6250 0.2500  2 O 1.92
Zr 0.0000 0.0000 0.0000  8 Mg 3.25-3.57
Zr 0.7500 0.2500 0.5000  8 Mg 3.25-3.57
O 0.5000 0.5000 0.0000  4 Mg 1.92
O 0.2500 0.7500 0.5000  4 Mg 1.92

Properties
The calculation puts the total moment at 1.14 μB per formula unit. The density of states at the Fermi level comes out at 0.64 states/eV/atom. Its crystal system is tetragonal. The calculation puts the calculated total energy at -4.840 eV/atom. As for the symmetry: I-42d.